VASP calculation (GGA-PBE) on Er2MnZn12Ni3 after structural relaxation.

a b c (Å): 7.4397 7.4397 7.4397
angles (deg): 70.43 70.43 70.43
With the nearest neighbours (Å) after each atom.
Fractional positions:
Ni: 0.5000 0.0000 0.0000  6 Zn 2.32-2.40
Ni: 0.0000 0.0000 0.5000  6 Zn 2.32-2.40
Ni: 0.0000 0.5000 0.0000  6 Zn 2.32-2.40
Zn: 0.8542 0.3743 0.8542  1 Ni 2.32
Zn: 0.1570 0.7074 0.7074  2 Ni 2.40
Zn: 0.8542 0.8542 0.3743  1 Ni 2.32
Zn: 0.8430 0.2926 0.2926  2 Ni 2.40
Zn: 0.7074 0.1570 0.7074  2 Ni 2.40
Zn: 0.3743 0.8542 0.8542  1 Ni 2.32
Zn: 0.2926 0.8430 0.2926  2 Ni 2.40
Zn: 0.1458 0.6257 0.1458  1 Ni 2.32
Zn: 0.1458 0.1458 0.6257  1 Ni 2.32
Zn: 0.2926 0.2926 0.8430  2 Ni 2.40
Zn: 0.6257 0.1458 0.1458  1 Ni 2.32
Zn: 0.7074 0.7074 0.1570  2 Ni 2.40
Er: 0.4030 0.4030 0.4030  6 Zn 2.88-2.99
Er: 0.5970 0.5970 0.5970  6 Zn 2.88-2.99
Mn: 0.0000 0.0000 0.0000  6 Zn 2.62

Values from the calculation:
Formation enthalpy at 0 K ... 249 meV per atom
Total energy ... -46.44 eV for the cell shown
Space group ... R-3m, No. 166